Record 1
Entry from OQMD via LeMat-Bulk: crystalline BaSrTa2O7 at its relaxed geometry (PBE).

Lattice parameters (Å, degrees): 4.002 7.852 10.990 110.93 100.49 90.00
Fractional coordinates of all 22 atoms:
1 O 0.805 0.605 0.611
2 O 0.407 0.153 0.814
3 O 0.195 0.994 0.389
4 O 0.000 0.710 0.000
5 O 0.115 0.615 0.230
6 O 0.195 0.395 0.389
7 O 0.593 0.847 0.186
8 O 0.407 0.660 0.814
9 O 0.885 0.385 0.770
10 O 0.079 0.079 0.158
11 O 0.921 0.921 0.842
12 O 0.593 0.340 0.186
13 O 0.000 0.290 0.000
14 O 0.805 0.006 0.611
15 Ba 0.261 0.761 0.522
16 Ba 0.739 0.239 0.478
17 Sr 0.500 0.000 0.000
18 Sr 0.500 0.500 0.000
19 Ta 0.896 0.648 0.793
20 Ta 0.896 0.144 0.793
21 Ta 0.104 0.352 0.207
22 Ta 0.104 0.856 0.207

Values from the calculation:
SG ... No. 71
Spin magnetization ... 0.00 μB/cell

Record 2
Entry from OQMD via LeMat-Bulk: crystalline Ga3Mo4W2C3 at its relaxed geometry (PBE).

Lattice parameters (Å, degrees): 5.331 5.331 13.533 101.39 101.39 59.98
Fractional coordinates of all 24 atoms:
1 Mo 0.868 0.697 0.590
2 Mo 0.132 0.303 0.410
3 Mo 0.303 0.132 0.910
4 Mo 0.966 0.808 0.910
5 Mo 0.808 0.966 0.410
6 Mo 0.697 0.868 0.090
7 Mo 0.192 0.034 0.590
8 Mo 0.034 0.192 0.090
9 W 0.642 0.471 0.913
10 W 0.471 0.642 0.413
11 W 0.358 0.529 0.087
12 W 0.529 0.358 0.587
13 Ga 0.747 0.583 0.250
14 Ga 0.417 0.253 0.250
15 Ga 0.253 0.417 0.750
16 Ga 0.913 0.087 0.750
17 Ga 0.087 0.913 0.250
18 Ga 0.583 0.747 0.750
19 C 0.500 0.000 0.500
20 C 0.000 0.500 0.000
21 C 0.336 0.829 0.000
22 C 0.171 0.664 0.500
23 C 0.664 0.171 0.000
24 C 0.829 0.336 0.500

Values from the calculation:
SG ... No. 15
Spin magnetization ... 0.00 μB/cell

| no. | electronic total energy (eV/atom) |
| --- | --- |
| 1 | -8.68 |
| 2 | -8.89 |